# NaTa3Cr (PBE, relaxed)
data_NaTa3Cr
_cell_length_a 4.6681
_cell_length_b 4.6681
_cell_length_c 4.6681
_cell_angle_alpha 90.00
_cell_angle_beta 90.00
_cell_angle_gamma 90.00
_symmetry_space_group_name_H-M 'P 1'
_symmetry_Int_Tables_number 1
loop_
_symmetry_equiv_pos_as_xyz
'x,y,z'
loop_
_atom_site_label
_atom_site_fract_x
_atom_site_fract_y
_atom_site_fract_z
_atom_site_occupancy
Cr1 0.5000 0.5000 0.5000 1
Na1 0.0000 0.0000 0.0000 1
Ta1 0.0000 0.5000 0.0000 1
Ta2 0.0000 0.0000 0.5000 1
Ta3 0.5000 0.0000 0.0000 1
# * SG: Pm-3m (221)
# * crystal system: cubic
# * theoretical density: 10.09 g/cm³
# * energy of formation: 239 kJ per mole of atoms
# * polymorph energy (0 for the lowest one): 1.3314 eV per atom


# TcSb3Os (PBE, relaxed)
data_TcSb3Os
_cell_length_a 5.0439
_cell_length_b 5.0439
_cell_length_c 5.0439
_cell_angle_alpha 90.00
_cell_angle_beta 90.00
_cell_angle_gamma 90.00
_symmetry_space_group_name_H-M 'P 1'
_symmetry_Int_Tables_number 1
loop_
_symmetry_equiv_pos_as_xyz
'x,y,z'
loop_
_atom_site_label
_atom_site_fract_x
_atom_site_fract_y
_atom_site_fract_z
_atom_site_occupancy
Sb1 0.0000 0.5000 0.0000 1
Sb2 0.0000 0.0000 0.5000 1
Sb3 0.5000 0.0000 0.0000 1
Os1 0.5000 0.5000 0.5000 1
Tc1 0.0000 0.0000 0.0000 1
# * SG: Pm-3m (221)
# * crystal system: cubic
# * uncorrected formation energy: 1385 meV per atom
# * theoretical density: 8.46 g/cm³
# * polymorph energy (0 for the lowest one): 0.0772 eV per atom


# Cs3BI (PBE, relaxed)
data_Cs3BI
_cell_length_a 6.6671
_cell_length_b 6.6671
_cell_length_c 6.6671
_cell_angle_alpha 90.00
_cell_angle_beta 90.00
_cell_angle_gamma 90.00
_symmetry_space_group_name_H-M 'P 1'
_symmetry_Int_Tables_number 1
loop_
_symmetry_equiv_pos_as_xyz
'x,y,z'
loop_
_atom_site_label
_atom_site_fract_x
_atom_site_fract_y
_atom_site_fract_z
_atom_site_occupancy
Cs1 0.0000 0.5000 0.0000 1
Cs2 0.0000 0.0000 0.5000 1
Cs3 0.5000 0.0000 0.0000 1
I1 0.5000 0.5000 0.5000 1
B1 0.0000 0.0000 0.0000 1
# * SG: Pm-3m (221)
# * crystal system: cubic
# * uncorrected formation energy: 181 meV per atom
# * theoretical density: 3.01 g/cm³
# * polymorph energy (0 for the lowest one): 0.0000 eV per atom


# Ti3CdPd (PBE, relaxed)
data_Ti3CdPd
_cell_length_a 4.7854
_cell_length_b 4.7854
_cell_length_c 4.7854
_cell_angle_alpha 90.00
_cell_angle_beta 90.00
_cell_angle_gamma 90.00
_symmetry_space_group_name_H-M 'P 1'
_symmetry_Int_Tables_number 1
loop_
_symmetry_equiv_pos_as_xyz
'x,y,z'
loop_
_atom_site_label
_atom_site_fract_x
_atom_site_fract_y
_atom_site_fract_z
_atom_site_occupancy
Ti1 0.0000 0.5000 0.0000 1
Ti2 0.0000 0.0000 0.5000 1
Ti3 0.5000 0.0000 0.0000 1
Pd1 0.0000 0.0000 0.0000 1
Cd1 0.5000 0.5000 0.5000 1
# * SG: Pm-3m (221)
# * crystal system: cubic
# * theoretical density: 5.49 g/cm³
# * energy of formation: 48 kJ per mole of atoms
# * polymorph energy (0 for the lowest one): 0.0000 eV per atom